(1)
# MnReSi2 PBE optimized geometry
# - Spin magnetization: 2.30 μB per cell
# - Formation energy (no corrections): -0.022 eV/atom
# - DOS(E_F): 1.9 states/eV/cell
data_MnReSi2
_symmetry_space_group_name_H-M 'P m m m'
_symmetry_Int_Tables_number 47
_cell_length_a 3.254
_cell_length_b 3.688
_cell_length_c 4.376
_cell_angle_alpha 90.00
_cell_angle_beta 90.00
_cell_angle_gamma 90.00
loop_
_symmetry_equiv_pos_as_xyz
'x,y,z'
'-x,-y,-z'
'-x,-y,z'
'x,y,-z'
'x,-y,-z'
'-x,y,z'
'-x,y,-z'
'x,-y,z'
loop_
_atom_site_label
_atom_site_type_symbol
_atom_site_fract_x
_atom_site_fract_y
_atom_site_fract_z
_atom_site_occupancy
Mn1 Mn 0.000 0.000 0.000 1
Re1 Re 0.500 0.000 0.500 1
Si1 Si 0.000 0.500 0.500 1
Si2 Si 0.500 0.500 0.000 1

***

(2)
# MnReSi2 PBE optimized geometry
# - Spin magnetization: 5.80 μB per cell
# - Formation energy (no corrections): -0.086 eV/atom
# - DOS(E_F): 5.6 states/eV/cell
data_MnReSi2
_symmetry_space_group_name_H-M 'R -3 m'
_symmetry_Int_Tables_number 166
_symmetry_space_group_name_Hall '-R 3 2"'
_cell_length_a 2.7783
_cell_length_b 2.7783
_cell_length_c 23.4582
_cell_angle_alpha 90.00
_cell_angle_beta 90.00
_cell_angle_gamma 120.00
loop_
_atom_site_label
_atom_site_type_symbol
_atom_site_fract_x
_atom_site_fract_y
_atom_site_fract_z
_atom_site_occupancy
Mn1 Mn 0.0000 0.0000 0.0000 1
Re1 Re 0.0000 0.0000 0.5000 1
Si1 Si 0.0000 0.0000 0.2535 1

***

(3)
# MnReSi2 PBE optimized geometry
# - Spin magnetization: 0.00 μB per cell
# - Formation energy (no corrections): -0.213 eV/atom
# - DOS(E_F): 3.3 states/eV/cell
data_MnReSi2
_symmetry_space_group_name_H-M 'P 4/m m m'
_symmetry_Int_Tables_number 123
_symmetry_space_group_name_Hall '-P 4 2'
_cell_length_a 2.901
_cell_length_b 2.901
_cell_length_c 5.804
_cell_angle_alpha 90.00
_cell_angle_beta 90.00
_cell_angle_gamma 90.00
loop_
_atom_site_label
_atom_site_type_symbol
_atom_site_fract_x
_atom_site_fract_y
_atom_site_fract_z
_atom_site_occupancy
Mn1 Mn 0.000 0.000 0.000 1
Re1 Re 0.000 0.000 0.500 1
Si1 Si 0.500 0.500 0.228 1

***

(4)
# MnRe3Si PBE optimized geometry
# - Spin magnetization: 0.00 μB per cell
# - Formation energy (no corrections): 1.674 eV/atom
# - DOS(E_F): 8.0 states/eV/cell
data_MnRe3Si
_symmetry_space_group_name_H-M 'P m -3 m'
_symmetry_Int_Tables_number 221
_symmetry_space_group_name_Hall '-P 4 2 3'
_cell_length_a 4.405
_cell_length_b 4.405
_cell_length_c 4.405
_cell_angle_alpha 90.00
_cell_angle_beta 90.00
_cell_angle_gamma 90.00
loop_
_atom_site_label
_atom_site_type_symbol
_atom_site_fract_x
_atom_site_fract_y
_atom_site_fract_z
_atom_site_occupancy
Mn1 Mn 0.000 0.000 0.000 1
Re1 Re 0.000 0.000 0.500 1
Si1 Si 0.500 0.500 0.500 1

***

(5)
# MnRe2Si PBE optimized geometry
# - Spin magnetization: 0.00 μB per cell
# - Formation energy (no corrections): 0.033 eV/atom
# - DOS(E_F): 6.3 states/eV/cell
data_MnRe2Si
_symmetry_space_group_name_H-M 'F -4 3 m'
_symmetry_Int_Tables_number 216
_symmetry_space_group_name_Hall 'F -4 2 3'
_cell_length_a 5.974
_cell_length_b 5.974
_cell_length_c 5.974
_cell_angle_alpha 90.00
_cell_angle_beta 90.00
_cell_angle_gamma 90.00
loop_
_atom_site_label
_atom_site_type_symbol
_atom_site_fract_x
_atom_site_fract_y
_atom_site_fract_z
_atom_site_occupancy
Mn1 Mn 0.000 0.000 0.000 1
Re1 Re 0.000 0.000 0.500 1
Re2 Re 0.250 0.250 0.250 1
Si1 Si 0.250 0.250 0.750 1

***

(6)
# MnRe2Si PBE optimized geometry
# - Spin magnetization: 3.39 μB per cell
# - Formation energy (no corrections): 0.006 eV/atom
# - DOS(E_F): 5.1 states/eV/cell
data_MnRe2Si
_symmetry_space_group_name_H-M 'C 1 2/m 1'
_symmetry_Int_Tables_number 12
_cell_length_a 8.641
_cell_length_b 2.772
_cell_length_c 4.670
_cell_angle_alpha 90.00
_cell_angle_beta 101.06
_cell_angle_gamma 90.00
loop_
_symmetry_equiv_pos_as_xyz
'x,y,z'
'-x,-y,-z'
'-x,y,-z'
'x,-y,z'
'x+1/2,y+1/2,z'
'-x+1/2,-y+1/2,-z'
'-x+1/2,y+1/2,-z'
'x+1/2,-y+1/2,z'
loop_
_atom_site_label
_atom_site_type_symbol
_atom_site_fract_x
_atom_site_fract_y
_atom_site_fract_z
_atom_site_occupancy
Mn1 Mn 0.000 0.000 0.000 1
Re1 Re 0.249 0.500 0.246 1
Si1 Si 0.000 0.500 0.500 1

***

(7)
# MnReSi2 PBE optimized geometry
# - Spin magnetization: 3.79 μB per cell
# - Formation energy (no corrections): 0.003 eV/atom
# - DOS(E_F): 6.5 states/eV/cell
data_MnReSi2
_symmetry_space_group_name_H-M 'R 3 m'
_symmetry_Int_Tables_number 160
_symmetry_space_group_name_Hall 'R 3 -2"'
_cell_length_a 2.8149
_cell_length_b 2.8149
_cell_length_c 23.2041
_cell_angle_alpha 90.00
_cell_angle_beta 90.00
_cell_angle_gamma 120.00
loop_
_atom_site_label
_atom_site_type_symbol
_atom_site_fract_x
_atom_site_fract_y
_atom_site_fract_z
_atom_site_occupancy
Mn1 Mn 0.0000 0.0000 0.0000 1
Re1 Re 0.0000 0.0000 0.7534 1
Si1 Si 0.0000 0.0000 0.2570 1
Si2 Si 0.0000 0.0000 0.5046 1

***

(8)
# MnReSi4 PBE optimized geometry
# - Spin magnetization: 11.63 μB per cell
# - Formation energy (no corrections): 0.485 eV/atom
# - DOS(E_F): 11.8 states/eV/cell
data_MnReSi4
_symmetry_space_group_name_H-M 'F -4 3 m'
_symmetry_Int_Tables_number 216
_symmetry_space_group_name_Hall 'F -4 2 3'
_cell_length_a 6.782
_cell_length_b 6.782
_cell_length_c 6.782
_cell_angle_alpha 90.00
_cell_angle_beta 90.00
_cell_angle_gamma 90.00
loop_
_atom_site_label
_atom_site_type_symbol
_atom_site_fract_x
_atom_site_fract_y
_atom_site_fract_z
_atom_site_occupancy
Mn1 Mn 0.000 0.000 0.000 1
Re1 Re 0.250 0.250 0.750 1
Si1 Si 0.125 0.125 0.375 1